VASP calculation (PBE+U) on a relaxed AcCrC2O8 crystal.

```
AcCrC2O8
1.0
3.8377 -2.4265 0.0000
3.8377 2.4265 0.0000
-0.6893 0.0000 7.3296
Ac Cr C O
1 1 2 8
direct
0.0000 0.0000 0.0000
0.0000 0.0000 0.5000
0.3693 0.3693 0.7070
0.6307 0.6307 0.2930
0.2441 0.7102 0.6947
0.2462 0.2462 0.5585
0.2898 0.7559 0.3053
0.3102 0.3102 0.8788
0.6898 0.6898 0.1212
0.7102 0.2441 0.6947
0.7538 0.7538 0.4415
0.7559 0.2898 0.3053
```

Properties
- space-group type = C2/m, No. 12
- total energy (eV per atom) = -7.458